Entry 1:
! SrRh3N, relaxed, DFT PBE; values from VASP
! - space-group type = Pm-3m (221)
! - Fermi-level density of states (states/eV/cell) = 12.0
! - total magnetic moment (μB per cell) = 5.030
! - energy (Ha/atom) = -0.1296
! - polymorph energy (0 for the lowest one) (meV/atom) = 2859
! - formation energy (no corrections) (eV/atom) = 2.89
&SYSTEM
  ibrav = 0, nat = 5, ntyp = 3
/
ATOMIC_SPECIES
Sr 87.62 Sr.upf
Rh 102.91 Rh.upf
N 14.01 N.upf
CELL_PARAMETERS angstrom
-2.1598 -4.3437 1.6220
-1.2328 -1.1869 -4.8202
4.4697 -2.4263 -0.5458
ATOMIC_POSITIONS crystal
Sr 0.0000 0.0000 0.0000
Rh 0.0000 0.5000 0.0000
Rh 0.0000 0.0000 0.5000
Rh 0.5000 0.0000 0.0000
N 0.5000 0.5000 0.5000


Entry 2:
! TmPu2PaS4, relaxed, DFT PBE; values from VASP
! - space-group type = P2/m (10)
! - Fermi-level density of states (states/eV/cell) = 13.7
! - total magnetic moment (μB per cell) = 0.374
! - energy (Ha/atom) = -0.3370
! - formation energy (no corrections) (eV/atom) = -1.78
&SYSTEM
  ibrav = 0, nat = 8, ntyp = 4
/
ATOMIC_SPECIES
Tm 168.93 Tm.upf
Pu 244.00 Pu.upf
Pa 231.04 Pa.upf
S 32.06 S.upf
CELL_PARAMETERS angstrom
-3.3672 0.4136 1.8872
-2.8994 -4.5949 -4.1662
2.5928 -3.1542 5.3174
ATOMIC_POSITIONS crystal
Tm 0.0000 0.0000 0.0000
Pu 0.5000 0.0000 0.5000
Pu 0.0000 0.5000 0.5000
Pa 0.5000 0.5000 0.0000
S 0.5000 0.2445 0.2426
S 0.5000 0.7555 0.7574
S 0.0000 0.2456 0.7527
S 0.0000 0.7544 0.2473